(1)
# Ta2RuPt

A relaxed structure of Ta2RuPt (PBE, Alexandria via LeMat-Bulk).

The calculation puts the total energy at -77.3 eV for the cell shown. Its space-group type is I-42d.

abc: 5.760 5.760 5.760
angles: 103.74 103.74 121.68
Positions (direct):
Ta (0.113, 0.625, 0.988)
Ta (0.375, 0.363, 0.488)
Ta (0.637, 0.125, 0.012)
Ta (0.875, 0.887, 0.512)
Ru (0.000, 0.000, 0.000)
Ru (0.750, 0.250, 0.500)
Pt (0.250, 0.750, 0.500)
Pt (0.500, 0.500, 0.000)

=====

(2)
# Ta3Ru2Pt

A relaxed structure of Ta3Ru2Pt (PBE, Alexandria via LeMat-Bulk).

The calculation puts the total energy at -125.1 eV for the cell shown. Its space-group type is P2/m.

abc: 4.159 7.457 6.618
angles: 90.00 108.23 90.00
Positions (direct):
Ta (0.000, 0.242, 0.000)
Ta (0.000, 0.758, 0.000)
Ta (0.335, 0.237, 0.669)
Ta (0.335, 0.763, 0.669)
Ta (0.665, 0.237, 0.331)
Ta (0.665, 0.763, 0.331)
Ru (0.167, 0.000, 0.334)
Ru (0.500, 0.000, 0.000)
Ru (0.500, 0.500, 0.000)
Ru (0.833, 0.000, 0.666)
Pt (0.167, 0.500, 0.335)
Pt (0.833, 0.500, 0.665)

=====

(3)
# TaRuPt4

A relaxed structure of TaRuPt4 (PBE, Alexandria via LeMat-Bulk).

The calculation puts the energy relative to the lowest polymorph listed for this composition at 0 meV per atom. Its space-group type is Cmcm.

abc: 8.104 8.104 4.575
angles: 90.00 90.00 139.99
Positions (direct):
Ta (0.197, 0.803, 0.750)
Ta (0.803, 0.197, 0.250)
Ru (0.303, 0.697, 0.250)
Ru (0.697, 0.303, 0.750)
Pt (0.108, 0.397, 0.750)
Pt (0.209, 0.297, 0.250)
Pt (0.297, 0.209, 0.750)
Pt (0.397, 0.108, 0.250)
Pt (0.603, 0.892, 0.750)
Pt (0.703, 0.791, 0.250)
Pt (0.791, 0.703, 0.750)
Pt (0.892, 0.603, 0.250)

=====

Per-record total moment, Bohr magnetons per cell: 0.0 0.0 0.0